# PBE-GGA Pa2Ni2Os, relaxed
# - Relative energy among the computed polymorphs: 0.0 meV/atom
# - Formation energy: -0.4245 eV per atom
# - D(E_F): 0.6739 states/eV per atom
data_Pa2Ni2Os
_cell_length_a 4.1467
_cell_length_b 6.1914
_cell_length_c 6.9458
_cell_angle_alpha 90.00
_cell_angle_beta 90.00
_cell_angle_gamma 90.00
_space_group_name_H-M_alt 'I m m m'
_space_group_IT_number 71
_space_group_name_Hall '-I 2 2'
loop_
_atom_site_label
_atom_site_type_symbol
_atom_site_fract_x
_atom_site_fract_y
_atom_site_fract_z
Pa1 Pa 0.0000 0.0000 0.2212
Ni1 Ni 0.0000 0.3026 0.5000
Os1 Os 0.0000 0.5000 0.0000